PbS2N2: optimized geometry, PBE.

Cell: 5.6530 5.6530 4.8483 Å, 90.00 90.00 90.00°
Last column: magnetic moment on the atom in μB.
Sites, in units of the cell vectors:
1 Pb 0.0000 0.0000 0.0000  -0.03
2 S 0.0000 0.5000 0.0000  0.60
3 S 0.5000 0.0000 0.0000  0.60
4 N 0.5000 0.5000 0.5000  1.91
5 N 0.0000 0.0000 0.5000  1.27

## Properties
ΔE_f (raw) (kJ/mol of formula units): 1116
Total moment (μB per atom): 1.350

KSr3: optimized geometry, PBE.

Cell: 7.0280 7.0280 4.6607 Å, 90.00 90.00 90.00°
Sites, in units of the cell vectors:
1 Sr 0.5000 0.0000 0.5000
2 Sr 0.5000 0.5000 0.0000
3 Sr 0.0000 0.5000 0.5000
4 K 0.0000 0.0000 0.0000

## Properties
ΔE_f (eV per atom): 0.0848
Total moment (μB per atom): 0.000

OsRhPb2: optimized geometry, PBE.

Cell: 3.3365 3.3365 6.8573 Å, 90.00 90.00 90.00°
Sites, in units of the cell vectors:
1 Os 0.5000 0.5000 0.5000
2 Rh 0.5000 0.5000 0.0000
3 Pb 0.0000 0.0000 0.7499
4 Pb 0.0000 0.0000 0.2501

## Properties
ΔE_f (eV per atom): 0.5850
Total moment (μB per atom): 0.000

InIr2Se: optimized geometry, PBE.

Cell: 4.3414 4.3414 8.7996 Å, 75.72 75.72 90.00°
Sites, in units of the cell vectors:
1 Ir 0.5618 0.1250 0.2500
2 Ir 0.1882 0.6250 0.2500
3 Ir 0.3750 0.4382 0.7500
4 Ir 0.8750 0.8118 0.7500
5 Se 0.5000 0.5000 0.0000
6 Se 0.2500 0.7500 0.5000
7 In 0.0000 0.0000 0.0000
8 In 0.7500 0.2500 0.5000

## Properties
ΔE_f (raw) (kJ/mol of formula units): 95
Total moment (μB per atom): 0.000

no.,density (g/cm³),VASP energy (eV per cell)
1,3.21,-17.05
2,2.18,-5.80
3,15.39,-23.66
4,12.35,-45.91